This record from Alexandria via LeMat-Bulk describes PmNd2Tm3 after structural relaxation. The functional is PBE.

## Properties
Energy of formation ... 0.125 eV/atom

Unit cell a=23.330 b=3.497 c=10.271 alpha=90.00 beta=108.56 gamma=90.00
Space group C2/m (No. 12)
Symmetry-distinct sites (fractional):
Pm 0.188 0.000 0.036 [4 per cell]
Nd 0.067 0.500 0.136 [4 per cell]
Nd 0.190 0.000 0.373 [4 per cell]
Tm 0.058 0.000 0.446 [4 per cell]
Tm 0.070 0.500 0.758 [4 per cell]
Tm 0.194 0.000 0.714 [4 per cell]


This record from Alexandria via LeMat-Bulk describes Tm2Fe3Tc after structural relaxation. The functional is PBE.

## Properties
Energy of formation ... -0.136 eV/atom

Unit cell a=5.1551 b=5.1551 c=12.5900 alpha=90.00 beta=90.00 gamma=120.00
Space group R-3m (No. 166, hexagonal axes)
Symmetry-distinct sites (fractional):
Tm 0.0000 0.0000 0.1253 [6 per cell]
Fe 0.0000 0.5000 0.0000 [9 per cell]
Tc 0.0000 0.0000 0.5000 [3 per cell]


This record from Alexandria via LeMat-Bulk describes SrInCu2 after structural relaxation. The functional is PBE.

## Properties
Energy of formation ... 0.173 eV/atom

Unit cell a=7.054 b=7.054 c=7.054 alpha=90.00 beta=90.00 gamma=90.00
Space group F-43m (No. 216)
Symmetry-distinct sites (fractional):
Sr 0.000 0.000 0.000 [4 per cell]
In 0.250 0.250 0.750 [4 per cell]
Cu 0.000 0.000 0.500 [4 per cell]
Cu 0.250 0.250 0.250 [4 per cell]


This record from Alexandria via LeMat-Bulk describes Ca3Nd2TaP6 after structural relaxation. The functional is PBE.

## Properties
Energy of formation ... -1.096 eV/atom

Unit cell a=6.957 b=12.073 c=7.075 alpha=90.00 beta=109.53 gamma=90.00
Space group C2/m (No. 12)
Symmetry-distinct sites (fractional):
Ca 0.000 0.000 0.000 [2 per cell]
Ca 0.000 0.327 0.000 [4 per cell]
Nd 0.000 0.166 0.500 [4 per cell]
Ta 0.000 0.500 0.500 [2 per cell]
P 0.222 0.500 0.268 [4 per cell]
P 0.229 0.348 0.732 [8 per cell]


This record from Alexandria via LeMat-Bulk describes LiMnPd6 after structural relaxation. The functional is PBE.

## Properties
Energy of formation ... -0.237 eV/atom

Unit cell a=3.921 b=3.921 c=7.774 alpha=90.00 beta=90.00 gamma=90.00
Space group P4/mmm (No. 123)
Symmetry-distinct sites (fractional):
Li 0.000 0.000 0.000 [1 per cell]
Mn 0.000 0.000 0.500 [1 per cell]
Pd 0.000 0.500 0.250 [4 per cell]
Pd 0.500 0.500 0.000 [1 per cell]
Pd 0.500 0.500 0.500 [1 per cell]


This record from Alexandria via LeMat-Bulk describes TeRu4Rh after structural relaxation. The functional is PBE.

## Properties
Final energy ... -173.44 eV per cell

Unit cell a=7.322 b=7.322 c=7.322 alpha=90.00 beta=90.00 gamma=90.00
Space group F-43m (No. 216)
Symmetry-distinct sites (fractional):
Te 0.000 0.000 0.000 [4 per cell]
Ru 0.124 0.124 0.376 [16 per cell]
Rh 0.250 0.250 0.750 [4 per cell]


This record from Alexandria via LeMat-Bulk describes TlCoSb2 after structural relaxation. The functional is PBE.

## Properties
Final energy ... -34.88 eV per cell

Unit cell a=3.242 b=3.245 c=18.509 alpha=90.00 beta=90.00 gamma=90.00
Space group Imm2 (No. 44)
Symmetry-distinct sites (fractional):
Tl 0.000 0.000 0.000 [2 per cell]
Co 0.000 0.500 0.765 [2 per cell]
Sb 0.000 0.000 0.657 [2 per cell]
Sb 0.000 0.500 0.333 [2 per cell]


This record from Alexandria via LeMat-Bulk describes Ca2HfCd after structural relaxation. The functional is PBE.

## Properties
Energy of formation ... 0.542 eV/atom

Unit cell a=8.638 b=8.638 c=6.391 alpha=90.00 beta=90.00 gamma=90.00
Space group I-42d (No. 122)
Symmetry-distinct sites (fractional):
Ca 0.221 0.250 0.125 [8 per cell]
Hf 0.000 0.000 0.500 [4 per cell]
Cd 0.000 0.000 0.000 [4 per cell]


| no. | DOS(E_F) (states/eV per atom) |
| --- | --- |
| 1 | 1.506 |
| 2 | 1.103 |
| 3 | 0.727 |
| 4 | 0.522 |
| 5 | 1.162 |
| 6 | 1.747 |
| 7 | 0.729 |
| 8 | 1.276 |